Entry 1:
Here is a geometry-optimized RbCaZnFe2 structure from Alexandria. Energies are from PBE.

## Properties
Formation energy in meV/atom: 1061

```
data_RbCaZnFe2
_cell_length_a 4.8744
_cell_length_b 4.8744
_cell_length_c 5.6874
_cell_angle_alpha 90.00
_cell_angle_beta 90.00
_cell_angle_gamma 90.00
_space_group_name_H-M_alt 'P 4/m m m'
_space_group_IT_number 123
_space_group_name_Hall '-P 4 2'
loop_
_atom_site_label
_atom_site_type_symbol
_atom_site_fract_x
_atom_site_fract_y
_atom_site_fract_z
Rb1 Rb 0.0000 0.0000 0.0000
Ca1 Ca 0.5000 0.5000 0.0000
Zn1 Zn 0.0000 0.0000 0.5000
Fe1 Fe 0.0000 0.5000 0.5000
```

---

Entry 2:
Here is a geometry-optimized CaFeRe2 structure from Alexandria. Energies are from PBE.

## Properties
Energy above the most stable polymorph in this dataset in meV per atom: 0
Formation energy in meV/atom: 432

```
data_CaFeRe2
_cell_length_a 3.1029
_cell_length_b 3.1029
_cell_length_c 7.3707
_cell_angle_alpha 90.00
_cell_angle_beta 90.00
_cell_angle_gamma 90.00
_space_group_name_H-M_alt 'P 4 m m'
_space_group_IT_number 99
_space_group_name_Hall 'P 4 -2'
loop_
_atom_site_label
_atom_site_type_symbol
_atom_site_fract_x
_atom_site_fract_y
_atom_site_fract_z
Ca1 Ca 0.0000 0.0000 0.0000
Fe1 Fe 0.5000 0.5000 0.3045
Re1 Re 0.0000 0.0000 0.4996
Re2 Re 0.5000 0.5000 0.6913
```

---

Entry 3:
Here is a geometry-optimized CaFeRe2 structure from Alexandria. Energies are from PBE.

## Properties
Energy above the most stable polymorph in this dataset in meV per atom: 405
Formation energy in meV/atom: 837

```
data_CaFeRe2
_cell_length_a 3.7601
_cell_length_b 3.7601
_cell_length_c 9.3868
_cell_angle_alpha 90.00
_cell_angle_beta 90.00
_cell_angle_gamma 90.00
_space_group_name_H-M_alt 'I 4/m m m'
_space_group_IT_number 139
_space_group_name_Hall '-I 4 2'
loop_
_atom_site_label
_atom_site_type_symbol
_atom_site_fract_x
_atom_site_fract_y
_atom_site_fract_z
Ca1 Ca 0.0000 0.0000 0.0000
Fe1 Fe 0.0000 0.0000 0.5000
Re1 Re 0.0000 0.5000 0.2500
```

---

Entry 4:
Here is a geometry-optimized Ca3FeRe structure from Alexandria. Energies are from PBE.

## Properties
Formation energy in meV/atom: 1368

```
data_Ca3FeRe
_cell_length_a 5.1560
_cell_length_b 5.1560
_cell_length_c 5.1560
_cell_angle_alpha 90.00
_cell_angle_beta 90.00
_cell_angle_gamma 90.00
_space_group_name_H-M_alt 'P m -3 m'
_space_group_IT_number 221
_space_group_name_Hall '-P 4 2 3'
loop_
_atom_site_label
_atom_site_type_symbol
_atom_site_fract_x
_atom_site_fract_y
_atom_site_fract_z
Ca1 Ca 0.0000 0.0000 0.5000
Fe1 Fe 0.0000 0.0000 0.0000
Re1 Re 0.5000 0.5000 0.5000
```

---

Entry 5:
Here is a geometry-optimized CaFeRe2 structure from Alexandria. Energies are from PBE.

## Properties
Energy above the most stable polymorph in this dataset in meV per atom: 255
Formation energy in meV/atom: 687

```
data_CaFeRe2
_cell_length_a 3.0556
_cell_length_b 4.4398
_cell_length_c 4.8057
_cell_angle_alpha 90.00
_cell_angle_beta 90.00
_cell_angle_gamma 90.00
_space_group_name_H-M_alt 'P m m m'
_space_group_IT_number 47
_space_group_name_Hall '-P 2 2'
loop_
_atom_site_label
_atom_site_type_symbol
_atom_site_fract_x
_atom_site_fract_y
_atom_site_fract_z
Ca1 Ca 0.0000 0.0000 0.0000
Fe1 Fe 0.5000 0.5000 0.0000
Re1 Re 0.0000 0.5000 0.5000
Re2 Re 0.5000 0.0000 0.5000
```

---

Entry 6:
Here is a geometry-optimized CaFeRe2 structure from Alexandria. Energies are from PBE.

## Properties
Energy above the most stable polymorph in this dataset in meV per atom: 200
Formation energy in meV/atom: 633

```
data_CaFeRe2
_cell_length_a 2.6749
_cell_length_b 4.8004
_cell_length_c 5.0998
_cell_angle_alpha 90.00
_cell_angle_beta 97.57
_cell_angle_gamma 90.00
_space_group_name_H-M_alt 'P 1 2/m 1'
_space_group_IT_number 10
_space_group_name_Hall '-P 2y'
loop_
_atom_site_label
_atom_site_type_symbol
_atom_site_fract_x
_atom_site_fract_y
_atom_site_fract_z
Ca1 Ca 0.0000 0.0000 0.0000
Fe1 Fe 0.5000 0.0000 0.5000
Re1 Re 0.2993 0.5000 0.7482
```

---

Entry 7:
Here is a geometry-optimized CaFeRe4 structure from Alexandria. Energies are from PBE.

## Properties
Formation energy in meV/atom: 471

```
data_CaFeRe4
_cell_length_a 7.4653
_cell_length_b 7.4653
_cell_length_c 7.4653
_cell_angle_alpha 90.00
_cell_angle_beta 90.00
_cell_angle_gamma 90.00
_space_group_name_H-M_alt 'F -4 3 m'
_space_group_IT_number 216
_space_group_name_Hall 'F -4 2 3'
loop_
_atom_site_label
_atom_site_type_symbol
_atom_site_fract_x
_atom_site_fract_y
_atom_site_fract_z
Ca1 Ca 0.0000 0.0000 0.0000
Fe1 Fe 0.2500 0.2500 0.7500
Re1 Re 0.1244 0.1244 0.3756
```

---

Entry 8:
Here is a geometry-optimized CaFeRe2 structure from Alexandria. Energies are from PBE.

## Properties
Energy above the most stable polymorph in this dataset in meV per atom: 319
Formation energy in meV/atom: 752

```
data_CaFeRe2
_cell_length_a 5.3792
_cell_length_b 9.4399
_cell_length_c 2.5783
_cell_angle_alpha 90.00
_cell_angle_beta 90.00
_cell_angle_gamma 90.00
_space_group_name_H-M_alt 'C m m m'
_space_group_IT_number 65
_space_group_name_Hall '-C 2 2'
loop_
_atom_site_label
_atom_site_type_symbol
_atom_site_fract_x
_atom_site_fract_y
_atom_site_fract_z
Ca1 Ca 0.0000 0.0000 0.0000
Fe1 Fe 0.0000 0.5000 0.0000
Re1 Re 0.2500 0.2500 0.5000
```

---

Entry 9:
Here is a geometry-optimized CaFeRe2 structure from Alexandria. Energies are from PBE.

## Properties
Energy above the most stable polymorph in this dataset in meV per atom: 648
Formation energy in meV/atom: 1081

```
data_CaFeRe2
_cell_length_a 6.2437
_cell_length_b 6.2437
_cell_length_c 6.2437
_cell_angle_alpha 90.00
_cell_angle_beta 90.00
_cell_angle_gamma 90.00
_space_group_name_H-M_alt 'F m -3 m'
_space_group_IT_number 225
_space_group_name_Hall '-F 4 2 3'
loop_
_atom_site_label
_atom_site_type_symbol
_atom_site_fract_x
_atom_site_fract_y
_atom_site_fract_z
Ca1 Ca 0.0000 0.0000 0.0000
Fe1 Fe 0.0000 0.0000 0.5000
Re1 Re 0.2500 0.2500 0.2500
```

---

Entry 10:
Here is a geometry-optimized CaFeRe2 structure from Alexandria. Energies are from PBE.

## Properties
Energy above the most stable polymorph in this dataset in meV per atom: 118
Formation energy in meV/atom: 551

```
data_CaFeRe2
_cell_length_a 3.1396
_cell_length_b 3.1396
_cell_length_c 7.1218
_cell_angle_alpha 90.00
_cell_angle_beta 90.00
_cell_angle_gamma 90.00
_space_group_name_H-M_alt 'P 4/m m m'
_space_group_IT_number 123
_space_group_name_Hall '-P 4 2'
loop_
_atom_site_label
_atom_site_type_symbol
_atom_site_fract_x
_atom_site_fract_y
_atom_site_fract_z
Ca1 Ca 0.0000 0.0000 0.0000
Fe1 Fe 0.0000 0.0000 0.5000
Re1 Re 0.5000 0.5000 0.3260
```

---

Entry 11:
Here is a geometry-optimized Ca2FeRe2 structure from Alexandria. Energies are from PBE.

## Properties
Energy above the most stable polymorph in this dataset in meV per atom: 466
Formation energy in meV/atom: 1383

```
data_Ca2FeRe2
_cell_length_a 8.8469
_cell_length_b 8.8469
_cell_length_c 2.7976
_cell_angle_alpha 90.00
_cell_angle_beta 90.00
_cell_angle_gamma 90.00
_space_group_name_H-M_alt 'P 4/m b m'
_space_group_IT_number 127
_space_group_name_Hall '-P 4 2ab'
loop_
_atom_site_label
_atom_site_type_symbol
_atom_site_fract_x
_atom_site_fract_y
_atom_site_fract_z
Ca1 Ca 0.1970 0.3030 0.0000
Fe1 Fe 0.0000 0.0000 0.0000
Re1 Re 0.0911 0.5911 0.5000
```

---

Entry 12:
Here is a geometry-optimized CaFeRe2 structure from Alexandria. Energies are from PBE.

## Properties
Energy above the most stable polymorph in this dataset in meV per atom: 211
Formation energy in meV/atom: 643

```
data_CaFeRe2
_cell_length_a 5.3962
_cell_length_b 9.5811
_cell_length_c 2.6390
_cell_angle_alpha 90.00
_cell_angle_beta 108.56
_cell_angle_gamma 90.00
_space_group_name_H-M_alt 'C 1 2/m 1'
_space_group_IT_number 12
_space_group_name_Hall '-C 2y'
loop_
_atom_site_label
_atom_site_type_symbol
_atom_site_fract_x
_atom_site_fract_y
_atom_site_fract_z
Ca1 Ca 0.0000 0.0000 0.0000
Fe1 Fe 0.0000 0.5000 0.0000
Re1 Re 0.2500 0.2500 0.5000
```

---

Entry 13:
Here is a geometry-optimized CaFeRe2 structure from Alexandria. Energies are from PBE.

## Properties
Energy above the most stable polymorph in this dataset in meV per atom: 614
Formation energy in meV/atom: 1046

```
data_CaFeRe2
_cell_length_a 4.9560
_cell_length_b 4.9560
_cell_length_c 2.6692
_cell_angle_alpha 90.00
_cell_angle_beta 90.00
_cell_angle_gamma 90.00
_space_group_name_H-M_alt 'P 4/m m m'
_space_group_IT_number 123
_space_group_name_Hall '-P 4 2'
loop_
_atom_site_label
_atom_site_type_symbol
_atom_site_fract_x
_atom_site_fract_y
_atom_site_fract_z
Ca1 Ca 0.0000 0.0000 0.0000
Fe1 Fe 0.5000 0.5000 0.0000
Re1 Re 0.0000 0.5000 0.5000
```

---

Entry 14:
Here is a geometry-optimized CaFeRe2 structure from Alexandria. Energies are from PBE.

## Properties
Energy above the most stable polymorph in this dataset in meV per atom: 258
Formation energy in meV/atom: 691

```
data_CaFeRe2
_cell_length_a 3.1437
_cell_length_b 4.8059
_cell_length_c 8.9194
_cell_angle_alpha 90.00
_cell_angle_beta 90.00
_cell_angle_gamma 90.00
_space_group_name_H-M_alt 'I m m 2'
_space_group_IT_number 44
_space_group_name_Hall 'I 2 -2'
loop_
_atom_site_label
_atom_site_type_symbol
_atom_site_fract_x
_atom_site_fract_y
_atom_site_fract_z
Ca1 Ca 0.0000 0.0000 0.0000
Fe1 Fe 0.0000 0.5000 0.2277
Re1 Re 0.0000 0.0000 0.5028
Re2 Re 0.0000 0.5000 0.7824
```